No. 1
VASP calculation (PBE) on a relaxed AcHfO4 crystal. Values from VASP.

Values from the calculation:
Mass density (g/cm³): 6.5
Raw formation energy (eV per atom): -1.893
Excess energy over the best structure of this formula in the dataset (eV per atom): 1.010
Symmetry: F-43m, No. 216

Quantum ESPRESSO input file:
```
&SYSTEM
  ibrav = 0, nat = 6, ntyp = 3
/
ATOMIC_SPECIES
Ac 227.00 Ac.upf
Hf 178.49 Hf.upf
O 16.00 O.upf
CELL_PARAMETERS angstrom
0.000 3.907 3.907
3.907 0.000 3.907
3.907 3.907 0.000
ATOMIC_POSITIONS angstrom
Ac 0.000 0.000 0.000
Hf 3.907 3.907 3.907
O 5.000 2.813 2.813
O 2.813 5.000 2.813
O 2.813 2.813 5.000
O 5.000 5.000 5.000
```


No. 2
VASP calculation (PBE) on a relaxed La6In2HN crystal. Values from VASP.

Values from the calculation:
Mass density (g/cm³): 6.6
Final energy (eV per atom): -5.322
Symmetry: Immm, No. 71

Quantum ESPRESSO input file:
```
&SYSTEM
  ibrav = 0, nat = 10, ntyp = 4
/
ATOMIC_SPECIES
La 138.91 La.upf
In 114.82 In.upf
H 1.01 H.upf
N 14.01 N.upf
CELL_PARAMETERS angstrom
-3.624 3.629 5.133
3.624 -3.629 5.133
3.624 3.629 -5.133
ATOMIC_POSITIONS angstrom
La 0.000 0.000 2.490
La 1.761 1.765 0.000
La 1.863 -1.864 5.133
La 1.761 5.493 0.000
La 0.000 0.000 7.775
La 1.863 1.864 5.133
In 3.624 0.000 2.566
In 0.000 3.629 2.567
H 0.000 0.000 5.133
N 0.000 0.000 0.000
```


No. 3
VASP calculation (PBE) on a relaxed InSnH crystal. Values from VASP.

Values from the calculation:
Mass density (g/cm³): 5.4
Excess energy over the best structure of this formula in the dataset (eV per atom): 0.000
Symmetry: C2/m, No. 12

Quantum ESPRESSO input file:
```
&SYSTEM
  ibrav = 0, nat = 6, ntyp = 3
/
ATOMIC_SPECIES
In 114.82 In.upf
Sn 118.71 Sn.upf
H 1.01 H.upf
CELL_PARAMETERS angstrom
2.107 -2.331 0.000
2.107 2.331 0.000
-1.263 0.000 14.651
ATOMIC_POSITIONS angstrom
In 0.139 0.000 3.199
In 2.812 0.000 11.453
Sn 0.795 0.000 8.787
Sn 2.156 0.000 5.864
H 0.823 0.000 14.274
H 2.128 0.000 0.377
```


No. 4
VASP calculation (PBE) on a relaxed NdLuSnAu crystal. Values from VASP.

Values from the calculation:
Mass density (g/cm³): 10.2
Calculated formation energy (eV/atom): -0.676
Symmetry: F-43m, No. 216

Quantum ESPRESSO input file:
```
&SYSTEM
  ibrav = 0, nat = 4, ntyp = 4
/
ATOMIC_SPECIES
Nd 144.24 Nd.upf
Lu 174.97 Lu.upf
Sn 118.71 Sn.upf
Au 196.97 Au.upf
CELL_PARAMETERS angstrom
0.000 3.721 3.721
3.721 0.000 3.721
3.721 3.721 0.000
ATOMIC_POSITIONS angstrom
Nd 0.000 0.000 0.000
Lu 3.721 3.721 3.721
Sn 1.860 1.860 1.860
Au 5.581 5.581 5.581
```


No. 5
VASP calculation (PBE) on a relaxed BaTaTc2 crystal. Values from VASP.

Values from the calculation:
Mass density (g/cm³): 10.8
Calculated formation energy (eV/atom): 1.267
Excess energy over the best structure of this formula in the dataset (eV per atom): 0.820
Symmetry: I-4m2, No. 119

Quantum ESPRESSO input file:
```
&SYSTEM
  ibrav = 0, nat = 4, ntyp = 3
/
ATOMIC_SPECIES
Ba 137.33 Ba.upf
Ta 180.95 Ta.upf
Tc 98.00 Tc.upf
CELL_PARAMETERS angstrom
-1.977 1.977 5.081
1.977 -1.977 5.081
1.977 1.977 -5.081
ATOMIC_POSITIONS angstrom
Ba 0.000 0.000 0.000
Ta 1.977 0.000 2.540
Tc 0.000 0.000 5.081
Tc 0.000 1.977 2.540
```


No. 6
VASP calculation (PBE) on a relaxed Be4CuPd crystal. Values from VASP.

Values from the calculation:
Mass density (g/cm³): 6.0
Calculated formation energy (eV/atom): -0.309
Symmetry: F-43m, No. 216

Quantum ESPRESSO input file:
```
&SYSTEM
  ibrav = 0, nat = 6, ntyp = 3
/
ATOMIC_SPECIES
Be 9.01 Be.upf
Cu 63.55 Cu.upf
Pd 106.42 Pd.upf
CELL_PARAMETERS angstrom
0.000 3.061 3.061
3.061 0.000 3.061
3.061 3.061 0.000
ATOMIC_POSITIONS angstrom
Be 0.768 0.768 0.768
Be 2.294 2.294 0.768
Be 2.294 0.768 2.294
Be 0.768 2.294 2.294
Cu 3.061 3.061 3.061
Pd 4.592 4.592 4.592
```